Computed, not measured: a relaxed structure of AuSe at the PBE level of DFT.

Cell: 3.8643 4.2245 6.6479 Å, 107.70 90.11 117.01°
Sites, in units of the cell vectors:
1 Au 0.1429 0.2852 0.3750
2 Au 0.8571 0.7148 0.6250
3 Se 0.4462 0.8907 0.1551
4 Se 0.5538 0.1093 0.8449

Properties
energy relative to the elements, uncorrected = 0.017 eV/atom
DFT total energy = -3.364 eV per atom
theoretical density = 10.09 Mg/m³
SG = No. 2